Record 1
Material: YFe2Ir
Method: DFT, GGA-PBEsol
State: relaxed

Values from the calculation:
SG ... P4/mmm, No. 123
Mass density ... 10.31 g cm⁻³
Final energy ... -8.465 eV per atom

```
YFe2Ir
1.0
-2.6790 -0.2683 -1.6696
0.6105 -3.0704 -0.4862
-3.1380 -1.4582 5.2693
Fe Ir Y
2 1 1
Direct
0.0000 0.0000 0.8136
0.0000 0.0000 0.1864
0.5000 0.5000 0.0000
0.5000 0.5000 0.5000
```

---

Record 2
Material: Sc3SiBi
Method: DFT, GGA-PBEsol
State: relaxed

Values from the calculation:
SG ... Pm-3m, No. 221
Mass density ... 5.09 g cm⁻³
ΔE_f (raw) ... -0.411 eV per atom

```
Sc3SiBi
1.0
-0.4126 -3.0109 -3.9062
4.7568 -1.2784 0.4830
-1.3029 -3.7141 3.0005
Sc Si Bi
3 1 1
Direct
0.0000 0.5000 0.0000
0.0000 0.0000 0.5000
0.5000 0.0000 0.0000
0.0000 0.0000 0.0000
0.5000 0.5000 0.5000
```

---

Record 3
Material: Sb2TeBr2
Method: DFT, GGA-PBEsol
State: relaxed

Values from the calculation:
SG ... I4/mmm, No. 139
Mass density ... 6.17 g cm⁻³
ΔE_f (raw) ... 0.106 eV per atom

```
Sb2TeBr2
1.0
4.5651 0.0000 0.0000
0.0000 4.5651 0.0000
-2.2825 -2.2825 6.8577
Sb Te Br
2 1 2
Direct
0.3951 0.3951 0.7902
0.6049 0.6049 0.2098
0.0000 0.0000 0.0000
0.2500 0.7500 0.5000
0.7500 0.2500 0.5000
```

---

Record 4
Material: Sr2CaPb2
Method: DFT, GGA-PBEsol
State: relaxed

Values from the calculation:
SG ... P4/mbm, No. 127
Mass density ... 5.97 g cm⁻³
Final energy ... -3.304 eV per atom

```
Sr2CaPb2
1.0
-4.7110 -1.1256 -0.5728
2.1860 -6.9173 -4.3867
0.2000 -4.4938 7.1859
Pb Sr Ca
4 4 2
Direct
0.0000 0.3690 0.8690
0.0000 0.8690 0.6310
0.0000 0.6310 0.1310
0.0000 0.1310 0.3690
0.5000 0.1664 0.6664
0.5000 0.6664 0.8336
0.5000 0.8336 0.3336
0.5000 0.3336 0.1664
0.0000 0.0000 0.0000
0.0000 0.5000 0.5000
```

---

Record 5
Material: Ba2Sn2Bi
Method: DFT, GGA-PBEsol
State: relaxed

Values from the calculation:
SG ... I4/mmm, No. 139
Mass density ... 5.75 g cm⁻³
Polymorph energy (0 for the lowest one) ... 610 meV per atom

```
Ba2Sn2Bi
1.0
-2.4711 5.3008 -0.6819
-4.8971 -1.9450 2.6277
5.8675 0.0256 4.3571
Bi Sn Ba
1 2 2
Direct
0.0000 0.0000 0.0000
0.3918 0.3918 0.7835
0.6082 0.6082 0.2165
0.2500 0.7500 0.5000
0.7500 0.2500 0.5000
```

---

Record 6
Material: Tc2Ag2Ir
Method: DFT, GGA-PBEsol
State: relaxed

Values from the calculation:
SG ... I4/mmm, No. 139
Mass density ... 12.18 g cm⁻³
Final energy ... -6.774 eV per atom

```
Tc2Ag2Ir
1.0
3.3699 0.0000 0.0000
0.0000 3.3699 0.0000
-1.6850 -1.6850 7.2483
Ag Ir Tc
2 1 2
Direct
0.5972 0.5972 0.1943
0.4028 0.4028 0.8057
0.0000 0.0000 0.0000
0.2500 0.7500 0.5000
0.7500 0.2500 0.5000
```

---

Record 7
Material: PtPbOF2
Method: DFT, GGA-PBEsol
State: relaxed

Values from the calculation:
SG ... P4/mmm, No. 123
Mass density ... 9.22 g cm⁻³
ΔE_f (raw) ... -0.247 eV per atom

```
PtPbOF2
1.0
4.2396 0.0000 0.0000
0.0000 4.4028 0.0000
0.0000 0.0000 4.4028
Pb O Pt F
1 1 1 2
Direct
0.0000 0.0000 0.0000
0.5000 0.0000 0.0000
0.5000 0.5000 0.5000
0.0000 0.0000 0.5000
0.0000 0.5000 0.0000
```

---

Record 8
Material: In2WBr
Method: DFT, GGA-PBEsol
State: relaxed

Values from the calculation:
SG ... Amm2, No. 38
Mass density ... 10.02 g cm⁻³
ΔE_f (raw) ... 0.508 eV per atom
Polymorph energy (0 for the lowest one) ... 77 meV per atom

```
In2WBr
1.0
-1.1653 2.4736 1.5213
-4.3642 -2.0005 -0.0903
1.6041 -3.6796 3.9937
Br W In
1 1 2
Direct
0.5513 0.5000 0.1026
0.7064 0.0000 0.4129
0.9664 0.0000 0.9328
0.2825 0.5000 0.5650
```

---

Record 9
Material: EuAgW2O8
Method: DFT, GGA-PBEsol
State: relaxed

Values from the calculation:
SG ... C2/m, No. 12
Mass density ... 8.01 g cm⁻³
ΔE_f (raw) ... -2.073 eV per atom

```
EuAgW2O8
1.0
7.2359 -0.0569 -0.0770
-3.0852 6.7731 -0.0273
-3.0852 -2.0162 6.4661
Eu Ag W O
2 2 4 16
Direct
0.0000 0.3026 0.6974
0.0000 0.6974 0.3026
0.5140 0.7029 0.7029
0.4860 0.2971 0.2971
0.9835 0.2161 0.2161
0.0165 0.7839 0.7839
0.5000 0.1633 0.8367
0.5000 0.8367 0.1633
0.7625 0.1035 0.3456
0.2375 0.8965 0.6544
0.2375 0.6544 0.8965
0.7625 0.3456 0.1035
0.6397 0.2096 0.6845
0.3603 0.7904 0.3155
0.3603 0.3155 0.7904
0.6397 0.6845 0.2096
0.8998 0.9500 0.6962
0.1002 0.0500 0.3038
0.1002 0.3038 0.0500
0.8998 0.6962 0.9500
0.6624 0.9790 0.9790
0.3376 0.0210 0.0210
0.8450 0.5514 0.5514
0.1550 0.4486 0.4486
```

---

Record 10
Material: BaLiAg2
Method: DFT, GGA-PBEsol
State: relaxed

Values from the calculation:
SG ... P4/mmm, No. 123
Mass density ... 6.28 g cm⁻³
Polymorph energy (0 for the lowest one) ... 90 meV per atom

```
BaLiAg2
1.0
-0.0807 3.6145 -0.1583
-2.3376 -0.1735 -2.7698
-5.5422 0.0749 4.6727
Ba Ag Li
1 2 1
Direct
0.5000 0.5000 0.0000
0.0001 0.0000 0.6867
0.9999 0.0000 0.3133
0.5000 0.5000 0.5000
```

---

Record 11
Material: K2TiCl6
Method: DFT, GGA-PBEsol
State: relaxed

Values from the calculation:
SG ... Fm-3m, No. 225
Mass density ... 2.46 g cm⁻³
ΔE_f (raw) ... -1.779 eV per atom

```
K2TiCl6
1.0
-1.9820 6.1533 -2.2997
-6.1130 0.7238 -3.0312
-5.0325 3.3985 3.1945
K Ti Cl
2 1 6
Direct
0.2500 0.2500 0.2500
0.7500 0.7500 0.7500
0.0000 0.0000 0.0000
0.2404 0.7596 0.2404
0.7596 0.7596 0.2404
0.2404 0.2404 0.7596
0.7596 0.2404 0.7596
0.2404 0.7596 0.7596
0.7596 0.2404 0.2404
```

---

Record 12
Material: In2AuBr
Method: DFT, GGA-PBEsol
State: relaxed

Values from the calculation:
SG ... Immm, No. 71
Mass density ... 8.43 g cm⁻³
ΔE_f (raw) ... -0.151 eV per atom
Polymorph energy (0 for the lowest one) ... 42 meV per atom

```
In2AuBr
1.0
-3.9191 1.9184 1.6320
-3.4135 -3.2961 2.3266
-0.3957 0.3763 5.2565
Au Br In
1 1 2
Direct
0.5000 0.0000 0.0000
0.0000 0.5000 0.5000
0.2234 0.7766 0.7766
0.7766 0.2234 0.2234
```

---

Record 13
Material: CoCuPt2
Method: DFT, GGA-PBEsol
State: relaxed

Values from the calculation:
SG ... Pmmm, No. 47
Mass density ... 16.25 g cm⁻³
Final energy ... -6.593 eV per atom

```
CoCuPt2
1.0
-1.4218 2.2911 -0.1242
-0.7362 -0.2672 3.4999
4.4625 2.8319 1.1550
Co Pt Cu
1 2 1
Direct
0.5000 0.5000 0.0000
0.0000 0.0000 0.7526
0.0000 0.0000 0.2474
0.5000 0.5000 0.5000
```

---

Record 14
Material: Cd3HO
Method: DFT, GGA-PBEsol
State: relaxed

Values from the calculation:
SG ... Pm-3m, No. 221
Mass density ... 6.27 g cm⁻³
Final energy ... -2.082 eV per atom

```
Cd3HO
1.0
-1.7256 2.7154 3.2078
1.2245 -2.9924 3.1918
4.0205 2.0769 0.4048
H O Cd
1 1 3
Direct
0.5000 0.5000 0.5000
0.0000 0.0000 0.0000
0.0000 0.5000 0.0000
0.0000 0.0000 0.5000
0.5000 0.0000 0.0000
```

---

Record 15
Material: Sn2PCO6
Method: DFT, GGA-PBEsol
State: relaxed

Values from the calculation:
SG ... P2_1/c, No. 14
Mass density ... 4.14 g cm⁻³
ΔE_f (raw) ... -1.623 eV per atom

```
Sn2PCO6
1.0
-1.0419 -0.8927 4.4988
5.4772 -1.7871 0.9139
6.2859 20.9507 3.2964
Sn P C O
8 4 4 24
Direct
0.2528 0.1574 0.6821
0.7699 0.1150 0.9314
0.2301 0.8850 0.0686
0.7472 0.6574 0.8179
0.7472 0.8426 0.3179
0.2528 0.3426 0.1821
0.2301 0.6150 0.5686
0.7699 0.3850 0.4314
0.7820 0.7382 0.1725
0.2180 0.2382 0.3275
0.2180 0.2618 0.8275
0.7820 0.7618 0.6725
0.5609 0.9152 0.4780
0.4391 0.0848 0.5220
0.4391 0.4152 0.0220
0.5609 0.5848 0.9780
0.8941 0.1979 0.3364
0.7484 0.5862 0.7233
0.2642 0.0091 0.5571
0.2642 0.4909 0.0571
0.6668 0.0019 0.6870
0.2516 0.4138 0.2767
0.4782 0.7102 0.4803
0.2516 0.0862 0.7767
0.7358 0.9909 0.4429
0.6473 0.6620 0.6115
0.6473 0.8380 0.1115
0.5218 0.2898 0.5197
0.1059 0.8021 0.6636
0.8941 0.3021 0.8364
0.6668 0.4981 0.1870
0.3332 0.5019 0.8130
0.3332 0.9981 0.3130
0.7484 0.9138 0.2233
0.7358 0.5091 0.9429
0.1059 0.6979 0.1636
0.4782 0.7898 0.9803
0.3527 0.1620 0.8885
0.3527 0.3380 0.3885
0.5218 0.2102 0.0197
```

---

Record 16
Material: ScBCl3
Method: DFT, GGA-PBEsol
State: relaxed

Values from the calculation:
SG ... Pm-3m, No. 221
Mass density ... 3.21 g cm⁻³
ΔE_f (raw) ... -0.086 eV per atom

```
ScBCl3
1.0
-3.5720 2.4952 -0.4190
-2.2442 -3.4594 -1.4686
-1.1683 -0.9836 4.1022
Sc B Cl
1 1 3
Direct
0.5000 0.5000 0.5000
0.0000 0.0000 0.0000
0.0000 0.5000 0.0000
0.0000 0.0000 0.5000
0.5000 0.0000 0.0000
```

---

Record 17
Material: Os2RuRh
Method: DFT, GGA-PBEsol
State: relaxed

Values from the calculation:
SG ... F-43m, No. 216
Mass density ... 17.28 g cm⁻³
Polymorph energy (0 for the lowest one) ... 579 meV per atom

```
Os2RuRh
1.0
-2.2952 2.6264 2.5124
-2.6828 -1.6338 2.9345
0.9314 0.3297 4.1835
Os Rh Ru
2 1 1
Direct
0.0000 0.0000 0.0000
0.7500 0.7500 0.7500
0.5000 0.5000 0.5000
0.2500 0.2500 0.2500
```

---

Record 18
Material: HgPbSe2
Method: DFT, GGA-PBEsol
State: relaxed

Values from the calculation:
SG ... R-3m, No. 166
Mass density ... 8.44 g cm⁻³
ΔE_f (raw) ... 0.115 eV per atom

```
HgPbSe2
1.0
3.7470 0.0000 0.0000
1.8735 3.2450 0.0000
1.8735 1.0817 9.1483
Pb Hg Se
1 1 2
Direct
0.0000 0.0000 0.0000
0.5000 0.5000 0.5000
0.8935 0.8935 0.3196
0.1065 0.1065 0.6804
```

---

Record 19
Material: Dy2Zn17
Method: DFT, GGA-PBEsol
State: relaxed

Values from the calculation:
SG ... R-3m, No. 166
Mass density ... 8.31 g cm⁻³
Final energy ... -2.199 eV per atom

```
Dy2Zn17
1.0
6.6454 -0.0184 -0.0164
0.8478 6.5911 -0.0164
0.8478 0.7436 6.5490
Dy Zn
2 17
Direct
0.6644 0.6644 0.6644
0.3356 0.3356 0.3356
0.3519 0.8389 0.3519
0.3519 0.3519 0.8389
0.0998 0.0998 0.0998
0.9002 0.9002 0.9002
0.0000 0.5000 0.0000
0.5000 0.0000 0.0000
0.0000 0.0000 0.5000
0.7028 0.0000 0.2972
0.0000 0.2972 0.7028
0.2972 0.7028 0.0000
0.2972 0.0000 0.7028
0.0000 0.7028 0.2972
0.7028 0.2972 0.0000
0.6481 0.6481 0.1611
0.6481 0.1611 0.6481
0.1611 0.6481 0.6481
0.8389 0.3519 0.3519
```

---

Record 20
Material: HfZrBi2
Method: DFT, GGA-PBEsol
State: relaxed

Values from the calculation:
SG ... I-42d, No. 122
Mass density ... 8.05 g cm⁻³
Polymorph energy (0 for the lowest one) ... 797 meV per atom

```
HfZrBi2
1.0
6.5876 0.0000 0.0000
0.0000 6.5876 0.0000
-3.2938 -3.2938 6.5404
Hf Bi Zr
2 4 2
Direct
0.2500 0.7500 0.5000
0.0000 0.0000 0.0000
0.3702 0.8750 0.2500
0.8798 0.3750 0.2500
0.1250 0.1202 0.7500
0.6250 0.6298 0.7500
0.7500 0.2500 0.5000
0.5000 0.5000 0.0000
```